No. 1
# Th4RuRhS2 GGA-PBE optimized geometry
# raw formation energy: -1.202 eV per atom
# volume: 202 Å³ per cell
data_Th4RuRhS2
_cell_length_a 7.001
_cell_length_b 4.049
_cell_length_c 7.512
_cell_angle_alpha 90.00
_cell_angle_beta 108.01
_cell_angle_gamma 90.00
_space_group_name_H-M_alt 'P 1 2/m 1'
_space_group_IT_number 10
_space_group_name_Hall '-P 2y'
loop_
_atom_site_label
_atom_site_fract_x
_atom_site_fract_y
_atom_site_fract_z
Th1 0.240 0.000 0.229
Th2 0.252 0.500 0.770
Ru1 0.000 0.500 0.000
Rh1 0.500 0.000 0.000
S1 0.000 0.000 0.500
S2 0.500 0.500 0.500



No. 2
# SbRu2Rh GGA-PBE optimized geometry
# raw formation energy: 0.390 eV per atom
# volume: 192 Å³ per cell
data_SbRu2Rh
_cell_length_a 2.9663
_cell_length_b 2.9663
_cell_length_c 25.2166
_cell_angle_alpha 90.00
_cell_angle_beta 90.00
_cell_angle_gamma 120.00
_space_group_name_H-M_alt 'R -3 m'
_space_group_IT_number 166
_space_group_name_Hall '-R 3 2"'
loop_
_atom_site_label
_atom_site_fract_x
_atom_site_fract_y
_atom_site_fract_z
Sb1 0.0000 0.0000 0.0000
Ru1 0.0000 0.0000 0.2504
Rh1 0.0000 0.0000 0.5000